# 1
Computed, not measured: an optimized crystal structure of YInFeTe3 at the PBE level of DFT.

a = 8.022 Å, b = 8.022 Å, c = 11.239 Å
α = 90.00°, β = 90.00°, γ = 30.74°
Site moments in Bohr magnetons follow the coordinates.
Atoms (fractional coordinates):
Fe: 0.472 0.472 0.250  3.10
Fe: 0.528 0.528 0.750  3.12
In: 0.757 0.757 0.250  0.02
In: 0.243 0.243 0.750  0.02
Te: 0.365 0.365 0.069  0.09
Te: 0.079 0.079 0.250  0.10
Te: 0.365 0.365 0.431  0.09
Te: 0.635 0.635 0.569  0.09
Te: 0.921 0.921 0.750  0.10
Te: 0.635 0.635 0.931  0.09
Y: 0.000 0.000 0.000  0.01
Y: 0.000 0.000 0.500  0.01

The space group is Cmcm. The crystal system is orthorhombic.

***

# 2
Computed, not measured: an optimized crystal structure of ZnCoMo4N2 at the PBE level of DFT.

a = 2.820 Å, b = 2.820 Å, c = 14.428 Å
α = 90.00°, β = 90.00°, γ = 120.00°
Site moments in Bohr magnetons follow the coordinates.
Atoms (fractional coordinates):
Co: 0.667 0.333 0.000  1.13
Mo: 0.000 0.000 0.147  0.01
Mo: 0.667 0.333 0.342  -0.01
Mo: 0.667 0.333 0.658  -0.01
Mo: 0.000 0.000 0.853  0.01
N: 0.333 0.667 0.246  0.01
N: 0.333 0.667 0.754  0.01
Zn: 0.000 0.000 0.500  0.00

The space group is P-6m2. The crystal system is hexagonal.

***

# 3
Computed, not measured: an optimized crystal structure of Sm2AuSe3 at the PBE level of DFT.

a = 10.559 Å, b = 3.983 Å, c = 13.946 Å
α = 90.00°, β = 90.00°, γ = 90.00°
Atoms (fractional coordinates):
Au: 0.262 0.750 0.225
Au: 0.762 0.750 0.275
Au: 0.238 0.250 0.725
Au: 0.738 0.250 0.775
Se: 0.080 0.750 0.094
Se: 0.460 0.750 0.100
Se: 0.765 0.250 0.140
Se: 0.265 0.250 0.360
Se: 0.960 0.750 0.400
Se: 0.580 0.750 0.406
Se: 0.420 0.250 0.594
Se: 0.040 0.250 0.600
Se: 0.735 0.750 0.640
Se: 0.235 0.750 0.860
Se: 0.540 0.250 0.900
Se: 0.920 0.250 0.906
Sm: 0.273 0.250 0.023
Sm: 0.015 0.250 0.247
Sm: 0.515 0.250 0.253
Sm: 0.773 0.250 0.477
Sm: 0.227 0.750 0.523
Sm: 0.485 0.750 0.747
Sm: 0.985 0.750 0.753
Sm: 0.727 0.750 0.977

The space group is Pnma. The crystal system is orthorhombic.

***

# 4
Computed, not measured: an optimized crystal structure of LaPuMg at the PBE level of DFT.

a = 5.014 Å, b = 5.014 Å, c = 5.014 Å
α = 60.00°, β = 60.00°, γ = 60.00°
Atoms (fractional coordinates):
La: 0.000 0.000 0.000
Mg: 0.250 0.250 0.250
Pu: 0.750 0.750 0.750

The space group is F-43m. The crystal system is cubic.

***

# 5
Computed, not measured: an optimized crystal structure of Er2ScAl3NiGe2 at the PBE level of DFT.

a = 4.094 Å, b = 6.815 Å, c = 6.815 Å
α = 119.65°, β = 90.00°, γ = 90.00°
Atoms (fractional coordinates):
Al: 0.500 0.232 0.003
Al: 0.500 0.003 0.232
Al: 0.500 0.770 0.770
Er: 0.000 0.998 0.593
Er: 0.000 0.593 0.998
Ge: 0.500 0.659 0.336
Ge: 0.500 0.336 0.659
Ni: 0.000 0.008 0.008
Sc: 0.000 0.401 0.401

The space group is Amm2. The crystal system is orthorhombic.

***

# 6
Computed, not measured: an optimized crystal structure of MgAg at the PBE level of DFT.

a = 7.769 Å, b = 6.021 Å, c = 4.872 Å
α = 90.00°, β = 90.00°, γ = 101.16°
Atoms (fractional coordinates):
Ag: 0.675 0.171 0.000
Ag: 0.330 0.326 0.000
Ag: 0.330 0.838 0.000
Ag: 0.559 0.396 0.500
Ag: 0.214 0.551 0.500
Ag: 0.559 0.884 0.500
Mg: 0.003 0.002 0.000
Mg: 0.016 0.503 0.000
Mg: 0.642 0.659 0.000
Mg: 0.246 0.063 0.500
Mg: 0.873 0.220 0.500
Mg: 0.886 0.720 0.500

The space group is P2_1/m. The crystal system is monoclinic.

***

# 7
Computed, not measured: an optimized crystal structure of La3NdP2Br2 at the PBE level of DFT.

a = 4.186 Å, b = 4.186 Å, c = 15.029 Å
α = 90.00°, β = 90.00°, γ = 120.00°
Atoms (fractional coordinates):
Br: 0.000 0.000 0.248
Br: 0.333 0.667 0.755
La: 0.333 0.667 0.100
La: 0.333 0.667 0.397
La: 0.000 0.000 0.605
Nd: 0.000 0.000 0.898
P: 0.667 0.333 0.501
P: 0.667 0.333 0.996

The space group is P3m1. The crystal system is trigonal.

***

# 8
Computed, not measured: an optimized crystal structure of YZnCuPb at the PBE level of DFT.

a = 4.904 Å, b = 4.904 Å, c = 4.904 Å
α = 60.00°, β = 60.00°, γ = 60.00°
Atoms (fractional coordinates):
Cu: 0.750 0.750 0.750
Pb: 0.000 0.000 0.000
Y: 0.500 0.500 0.500
Zn: 0.250 0.250 0.250

The space group is F-43m. The crystal system is cubic.

***

# 9
Computed, not measured: an optimized crystal structure of Te2WS2Br at the PBE level of DFT.

a = 6.428 Å, b = 8.099 Å, c = 8.428 Å
α = 113.56°, β = 112.34°, γ = 96.05°
Atoms (fractional coordinates):
Br: 0.661 0.750 0.386
Br: 0.339 0.250 0.614
S: 0.539 0.233 0.014
S: 0.655 0.195 0.256
S: 0.345 0.805 0.744
S: 0.461 0.767 0.986
Te: 0.130 0.332 0.172
Te: 0.110 0.912 0.245
Te: 0.890 0.088 0.755
Te: 0.870 0.668 0.828
W: 0.232 0.001 0.001
W: 0.768 0.999 0.999

The space group is P-1. The crystal system is triclinic.

***

# 10
Computed, not measured: an optimized crystal structure of LuCuTcPb at the PBE level of DFT.

a = 4.775 Å, b = 4.775 Å, c = 4.775 Å
α = 60.00°, β = 60.00°, γ = 60.00°
Atoms (fractional coordinates):
Cu: 0.750 0.750 0.750
Lu: 0.250 0.250 0.250
Pb: 0.000 0.000 0.000
Tc: 0.500 0.500 0.500

The space group is F-43m. The crystal system is cubic.

***

The records above give, respectively, raw total energy values of -5.067; -8.556; -5.207; -6.235; -5.350; -2.312; -5.797; -3.942; -5.126; -5.125 eV per atom.